## 1
Crystalline IrBrCl4 at its relaxed geometry. Source: the Alexandria database, functional PBE.

abc: 8.085 8.085 8.085
angles: 90.00 90.00 90.00
Space group F-43m (No. 216)
Inequivalent atoms, fractional coordinates:
Ir 0.000 0.000 0.000 [4 per cell]
Br 0.250 0.250 0.250 [4 per cell]
Cl 0.125 0.125 0.625 [16 per cell]

Mass density = 5.2 Mg/m³
Calculated volume = 22.0 Å³/atom

---

## 2
Crystalline IrBrCl4 at its relaxed geometry. Source: the Alexandria database, functional PBE.

abc: 8.123 5.611 6.660
angles: 90.00 91.80 90.00
Space group P2_1/c (No. 14)
Inequivalent atoms, fractional coordinates:
Ir 0.000 0.000 0.000 [2 per cell]
Br 0.500 0.000 0.000 [2 per cell]
Cl 0.123 0.248 0.753 [4 per cell]
Cl 0.244 0.725 0.513 [4 per cell]

Mass density = 4.5 Mg/m³
Calculated volume = 25.3 Å³/atom

---

Name the most stable of them. 2.

---

## 1
Crystalline Ir2BrCl at its relaxed geometry. Source: the Alexandria database, functional PBE.

abc: 3.072 3.072 8.783
angles: 90.00 90.00 90.00
Space group P4mm (No. 99)
Inequivalent atoms, fractional coordinates:
Ir 0.000 0.000 0.000 [1 per cell]
Ir 0.500 0.500 0.168 [1 per cell]
Br 0.000 0.000 0.381 [1 per cell]
Cl 0.500 0.500 0.804 [1 per cell]

Mass density = 10.0 Mg/m³
Calculated volume = 20.7 Å³/atom

---

## 2
Crystalline Ir2BrCl at its relaxed geometry. Source: the Alexandria database, functional PBE.

abc: 2.888 5.392 8.682
angles: 90.00 90.00 90.00
Space group Immm (No. 71)
Inequivalent atoms, fractional coordinates:
Ir 0.000 0.000 0.247 [4 per cell]
Br 0.000 0.500 0.000 [2 per cell]
Cl 0.000 0.500 0.500 [2 per cell]

Mass density = 12.3 Mg/m³
Calculated volume = 16.9 Å³/atom

---

## 3
Crystalline Ir2BrCl at its relaxed geometry. Source: the Alexandria database, functional PBE.

abc: 3.0582 3.0582 24.6335
angles: 90.00 90.00 120.00
Space group R-3m (No. 166, hexagonal axes)
Inequivalent atoms, fractional coordinates:
Ir 0.0000 0.0000 0.2491 [6 per cell]
Br 0.0000 0.0000 0.5000 [3 per cell]
Cl 0.0000 0.0000 0.0000 [3 per cell]

Mass density = 12.5 Mg/m³
Calculated volume = 16.6 Å³/atom

---

Name the most stable of them. 1.

---

## 1
Crystalline Ir2BrCl at its relaxed geometry. Source: the Alexandria database, functional PBE.

abc: 6.048 7.249 3.027
angles: 90.00 90.00 90.00
Space group Cmmm (No. 65)
Inequivalent atoms, fractional coordinates:
Ir 0.250 0.250 0.000 [4 per cell]
Br 0.000 0.000 0.500 [2 per cell]
Cl 0.000 0.500 0.500 [2 per cell]

Mass density = 12.5 Mg/m³
Calculated volume = 16.6 Å³/atom

---

## 2
Crystalline Ir2BrCl at its relaxed geometry. Source: the Alexandria database, functional PBE.

abc: 6.733 6.733 6.195
angles: 90.00 90.00 90.00
Space group I-42d (No. 122)
Inequivalent atoms, fractional coordinates:
Ir 0.242 0.750 0.125 [8 per cell]
Br 0.000 0.000 0.500 [4 per cell]
Cl 0.000 0.000 0.000 [4 per cell]

Mass density = 11.8 Mg/m³
Calculated volume = 17.6 Å³/atom

---

## 3
Crystalline Ir2BrCl at its relaxed geometry. Source: the Alexandria database, functional PBE.

abc: 3.6841 3.6841 24.6811
angles: 90.00 90.00 120.00
Space group R3m (No. 160, hexagonal axes)
Inequivalent atoms, fractional coordinates:
Ir 0.0000 0.0000 0.0000 [3 per cell]
Ir 0.0000 0.0000 0.2818 [3 per cell]
Br 0.0000 0.0000 0.7342 [3 per cell]
Cl 0.0000 0.0000 0.5541 [3 per cell]

Mass density = 8.6 Mg/m³
Calculated volume = 24.2 Å³/atom

---

## 4
Crystalline Ir2BrCl at its relaxed geometry. Source: the Alexandria database, functional PBE.

abc: 6.423 6.423 6.423
angles: 90.00 90.00 90.00
Space group Fm-3m (No. 225)
Inequivalent atoms, fractional coordinates:
Ir 0.250 0.250 0.250 [8 per cell]
Br 0.000 0.000 0.000 [4 per cell]
Cl 0.000 0.000 0.500 [4 per cell]

Mass density = 12.5 Mg/m³
Calculated volume = 16.6 Å³/atom

---

Name the most stable of them. 3.